Entry 1:
VASP calculation (PBE) on crystalline Cr2InTc at its relaxed geometry.

a = 2.857 Å, b = 3.850 Å, c = 5.620 Å
α = 90.00°, β = 98.97°, γ = 90.00°
Fractional coordinates of all 4 atoms:
Cr  0.000  0.000  0.000
Cr  0.379  0.500  0.201
In  0.980  0.000  0.493
Tc  0.578  0.500  0.794

energy of formation	0.330	eV/atom
symmetry	Pm, No. 6

=====

Entry 2:
VASP calculation (PBE) on crystalline CrInTc2 at its relaxed geometry.

a = 2.859 Å, b = 3.734 Å, c = 5.892 Å
α = 90.00°, β = 90.00°, γ = 90.00°
Fractional coordinates of all 4 atoms:
Cr  0.000  0.000  0.000
In  0.000  0.000  0.500
Tc  0.500  0.500  0.202
Tc  0.500  0.500  0.798

energy of formation	0.285	eV/atom
symmetry	Pmmm, No. 47

=====

Entry 3:
VASP calculation (PBE) on crystalline CrInTc2 at its relaxed geometry.

a = 9.911 Å, b = 9.911 Å, c = 9.911 Å
α = 157.43°, β = 157.43°, γ = 32.14°
Fractional coordinates of all 8 atoms:
Cr  0.000  0.000  0.000
Cr  0.750  0.250  0.500
In  0.250  0.750  0.500
In  0.500  0.500  0.000
Tc  0.057  0.625  0.932
Tc  0.375  0.307  0.432
Tc  0.693  0.125  0.068
Tc  0.875  0.943  0.568

energy of formation	0.775	eV/atom
symmetry	I-42d, No. 122

=====

Entry 4:
VASP calculation (PBE) on crystalline Cr2InTc at its relaxed geometry.

a = 3.013 Å, b = 3.013 Å, c = 6.832 Å
α = 90.00°, β = 90.00°, γ = 90.00°
Fractional coordinates of all 4 atoms:
Cr  0.000  0.000  0.213
Cr  0.000  0.000  0.787
In  0.500  0.500  0.500
Tc  0.500  0.500  0.000

energy of formation	0.268	eV/atom
symmetry	P4/mmm, No. 123

=====

Entry 5:
VASP calculation (PBE) on crystalline CrInTc2 at its relaxed geometry.

a = 4.970 Å, b = 4.970 Å, c = 4.664 Å
α = 109.71°, β = 109.71°, γ = 34.87°
Fractional coordinates of all 4 atoms:
Cr  0.000  0.000  0.000
In  0.500  0.500  0.500
Tc  0.275  0.275  0.785
Tc  0.725  0.725  0.215

energy of formation	0.257	eV/atom
symmetry	C2/m, No. 12

=====

Entry 6:
VASP calculation (PBE) on crystalline Cr3InTc at its relaxed geometry.

a = 4.662 Å, b = 4.662 Å, c = 4.662 Å
α = 90.00°, β = 90.00°, γ = 90.00°
Fractional coordinates of all 5 atoms:
Cr  0.000  0.000  0.500
Cr  0.000  0.500  0.000
Cr  0.500  0.000  0.000
In  0.500  0.500  0.500
Tc  0.000  0.000  0.000

E above lowest polymorph	0	meV/atom
energy of formation	1.153	eV/atom
symmetry	Pm-3m, No. 221

=====

Entry 7:
VASP calculation (PBE) on crystalline CrInTc2 at its relaxed geometry.

a = 2.916 Å, b = 2.916 Å, c = 7.574 Å
α = 90.00°, β = 90.00°, γ = 90.00°
Fractional coordinates of all 4 atoms:
Cr  0.000  0.000  0.000
In  0.500  0.500  0.282
Tc  0.000  0.000  0.563
Tc  0.500  0.500  0.777

energy of formation	0.234	eV/atom
symmetry	P4mm, No. 99

=====

Entry 8:
VASP calculation (PBE) on crystalline Cr2InTc at its relaxed geometry.

a = 4.978 Å, b = 4.978 Å, c = 4.411 Å
α = 113.41°, β = 113.41°, γ = 36.85°
Fractional coordinates of all 4 atoms:
Cr  0.235  0.235  0.195
Cr  0.765  0.765  0.805
In  0.000  0.000  0.500
Tc  0.500  0.500  0.000

energy of formation	0.376	eV/atom
symmetry	C2/m, No. 12

=====

Entry 9:
VASP calculation (PBE) on crystalline Cr2InTc at its relaxed geometry.

a = 8.776 Å, b = 8.776 Å, c = 8.776 Å
α = 18.99°, β = 18.99°, γ = 18.99°
Fractional coordinates of all 4 atoms:
Cr  0.242  0.242  0.242
Cr  0.758  0.758  0.758
In  0.000  0.000  0.000
Tc  0.500  0.500  0.500

energy of formation	0.471	eV/atom
symmetry	R-3m, No. 166

=====

Entry 10:
VASP calculation (PBE) on crystalline CrInTc at its relaxed geometry.

a = 7.103 Å, b = 6.862 Å, c = 2.826 Å
α = 83.16°, β = 73.57°, γ = 23.27°
Fractional coordinates of all 3 atoms:
Cr  0.000  0.000  0.000
In  0.676  0.676  0.324
Tc  0.362  0.362  0.638

E above lowest polymorph	269	meV/atom
energy of formation	0.437	eV/atom
symmetry	Fmm2, No. 42

=====

Entry 11:
VASP calculation (PBE) on crystalline CrInTc2 at its relaxed geometry.

a = 4.371 Å, b = 4.371 Å, c = 3.245 Å
α = 90.00°, β = 90.00°, γ = 90.00°
Fractional coordinates of all 4 atoms:
Cr  0.000  0.000  0.000
In  0.500  0.500  0.000
Tc  0.000  0.500  0.500
Tc  0.500  0.000  0.500

energy of formation	0.421	eV/atom
symmetry	P4/mmm, No. 123

=====

Entry 12:
VASP calculation (PBE) on crystalline CrInTc2 at its relaxed geometry.

a = 4.817 Å, b = 4.817 Å, c = 2.916 Å
α = 90.00°, β = 90.00°, γ = 111.69°
Fractional coordinates of all 4 atoms:
Cr  0.000  0.000  0.000
In  0.500  0.500  0.000
Tc  0.000  0.500  0.500
Tc  0.500  0.000  0.500

energy of formation	0.467	eV/atom
symmetry	Cmmm, No. 65